NpMn2GeC (GGA-PBE, optimized geometry); space-group type = P4mm; energy of formation from the pure elements = 0.209 eV per atom; total moment = 0.0 μB/f.u.
1.0
-2.270 1.091 2.929
-3.046 -1.585 -1.770
0.850 -4.056 2.169
C Mn Np Ge
1 2 1 1
Direct
0.000 0.000 0.941
0.000 0.500 0.984
0.500 0.000 0.984
0.000 0.000 0.439
0.500 0.500 0.652


Np2Mn4Ge2C (GGA-PBE, optimized geometry); space-group type = I4/mmm; energy of formation from the pure elements = 0.143 eV per atom; total moment = 2.9 μB/f.u.
1.0
5.724 -0.022 -0.031
-2.767 5.011 0.031
-2.767 -1.731 4.703
Ge Mn C Np
2 4 1 2
Direct
0.500 0.750 0.250
0.500 0.250 0.750
0.505 0.252 0.252
0.495 0.748 0.748
0.000 0.252 0.748
0.000 0.748 0.252
0.000 0.000 0.000
0.000 0.279 0.279
0.000 0.721 0.721


MnGe2PC (GGA-PBE, optimized geometry); space-group type = P4/mmm; energy of formation from the pure elements = 0.831 eV per atom; total moment = 1.1 μB/f.u.
1.0
-0.577 -3.670 2.939
2.824 1.105 1.933
-2.876 2.618 2.705
Ge Mn P C
2 1 1 1
Direct
0.000 0.000 0.500
0.500 0.000 0.000
0.000 0.000 0.000
0.500 0.500 0.500
0.000 0.500 0.000


Pa2Mn2Ge2C (GGA-PBE, optimized geometry); space-group type = C2/m; energy of formation from the pure elements = -0.448 eV per atom; total moment = 0.0 μB/f.u.
1.0
3.986 0.000 0.000
1.993 5.461 -0.052
1.993 1.113 5.312
Mn Pa Ge C
2 2 2 1
Direct
0.807 0.307 0.078
0.193 0.693 0.922
0.546 0.183 0.725
0.454 0.817 0.275
0.165 0.368 0.302
0.835 0.632 0.698
0.000 0.000 0.000


Pa2MnGeC (GGA-PBE, optimized geometry); space-group type = P2_1/m; energy of formation from the pure elements = -0.413 eV per atom; total moment = 0.0 μB/f.u.
1.0
3.703 0.000 0.000
0.000 6.726 -0.466
0.000 -3.405 7.563
Ge C Pa Mn
2 2 4 2
Direct
0.750 0.267 0.726
0.250 0.733 0.274
0.750 0.170 0.189
0.250 0.830 0.811
0.250 0.225 0.993
0.750 0.761 0.581
0.750 0.775 0.007
0.250 0.239 0.419
0.750 0.502 0.288
0.250 0.498 0.712


PmMn2Ge2C (GGA-PBE, optimized geometry); space-group type = P4/mmm; energy of formation from the pure elements = -0.348 eV per atom; total moment = 1.3 μB/f.u.
1.0
3.949 0.000 0.000
0.000 3.949 0.000
0.000 0.000 5.533
Ge Mn C Pm
2 2 1 1
Direct
0.500 0.500 0.271
0.500 0.500 0.729
0.500 0.000 0.000
0.000 0.500 0.000
0.000 0.000 0.000
0.000 0.000 0.500


PuMn2Ge2C (GGA-PBE, optimized geometry); space-group type = P4/mmm; energy of formation from the pure elements = -0.277 eV per atom; total moment = 6.7 μB/f.u.
1.0
-0.054 -1.795 3.488
-2.333 -2.790 -1.472
4.392 -2.917 -1.433
Ge Mn C Pu
2 2 1 1
Direct
0.500 0.500 0.726
0.500 0.500 0.274
0.000 0.500 0.000
0.500 0.000 0.000
0.000 0.000 0.000
0.000 0.000 0.500


Pu2Mn2Ge2C (GGA-PBE, optimized geometry); space-group type = C2/m; energy of formation from the pure elements = -0.319 eV per atom; total moment = 7.8 μB/f.u.
1.0
3.907 0.000 0.000
1.952 5.280 1.338
0.000 2.759 6.424
Pu C Mn Ge
2 1 2 2
Direct
0.444 0.112 0.717
0.556 0.888 0.283
0.000 0.000 0.000
0.807 0.387 0.925
0.193 0.613 0.075
0.158 0.684 0.693
0.842 0.316 0.307